Entry from Alexandria: a relaxed structure of Pm2Y3Mg2 (PBE-GGA).

Cell: 3.773 3.686 15.635 Å, 90.00 96.93 90.00°
Each line ends with the local moment (μB).
Fractional positions:
Mg (0.861, 0.000, 0.722)  0.00
Mg (0.139, 0.000, 0.278)  0.00
Y (0.000, 0.000, 0.000)  0.02
Y (0.578, 0.500, 0.156)  -0.01
Y (0.422, 0.500, 0.844)  -0.01
Pm (0.703, 0.500, 0.407)  0.13
Pm (0.297, 0.500, 0.593)  0.13

Output
- calculated density (g/cm³) = 4.66
- V (Å³ per cell) = 215.8
- raw total energy (eV per atom) = -4.55
- SG = No. 65
- formation energy (meV per atom) = 31